{
  "formula": "KTlF2",
  "functional": "GGA-PBE",
  "state": "relaxed",
  "de_polymorph_ev_per_atom": 0.121,
  "lattice_angstrom": [[6.745, 0.000, 0.000], [0.000, 6.745, 0.000], [0.000, 0.000, 6.745]],
  "species": ["K", "K", "K", "K", "Tl", "Tl", "Tl", "Tl", "F", "F", "F", "F", "F", "F", "F", "F"],
  "fractional_positions": [[0.000, 0.000, 0.000], [0.000, 0.500, 0.500], [0.500, 0.000, 0.500], [0.500, 0.500, 0.000], [0.000, 0.000, 0.500], [0.000, 0.500, 0.000], [0.500, 0.000, 0.000], [0.500, 0.500, 0.500], [0.250, 0.250, 0.250], [0.250, 0.250, 0.750], [0.250, 0.750, 0.250], [0.250, 0.750, 0.750], [0.750, 0.250, 0.250], [0.750, 0.250, 0.750], [0.750, 0.750, 0.250], [0.750, 0.750, 0.750]]
}

---

{
  "formula": "KTlF3",
  "functional": "GGA-PBE",
  "state": "relaxed",
  "lattice_angstrom": [[8.221, 0.000, 0.000], [0.000, 5.247, 0.000], [-5.606, 0.000, 8.560]],
  "species": ["K", "K", "K", "K", "Tl", "Tl", "Tl", "Tl", "F", "F", "F", "F", "F", "F", "F", "F", "F", "F", "F", "F"],
  "fractional_positions": [[0.017, 0.198, 0.135], [0.017, 0.302, 0.635], [0.983, 0.698, 0.365], [0.983, 0.802, 0.865], [0.444, 0.200, 0.562], [0.444, 0.300, 0.062], [0.556, 0.700, 0.938], [0.556, 0.800, 0.438], [0.115, 0.155, 0.435], [0.115, 0.345, 0.935], [0.303, 0.523, 0.363], [0.303, 0.977, 0.863], [0.371, 0.020, 0.188], [0.371, 0.480, 0.688], [0.629, 0.520, 0.312], [0.629, 0.980, 0.812], [0.697, 0.023, 0.137], [0.697, 0.477, 0.637], [0.885, 0.655, 0.065], [0.885, 0.845, 0.565]]
}

---

{
  "formula": "K2TlF4",
  "functional": "GGA-PBE",
  "state": "relaxed",
  "de_polymorph_ev_per_atom": 0.010,
  "lattice_angstrom": [[4.684, 0.000, 0.000], [0.000, 4.684, 0.000], [0.000, 0.000, 13.789]],
  "species": ["K", "K", "K", "K", "Tl", "Tl", "F", "F", "F", "F", "F", "F", "F", "F"],
  "fractional_positions": [[0.000, 0.000, 0.145], [0.000, 0.000, 0.855], [0.500, 0.500, 0.355], [0.500, 0.500, 0.645], [0.000, 0.000, 0.500], [0.500, 0.500, 0.000], [0.000, 0.000, 0.327], [0.000, 0.000, 0.673], [0.000, 0.500, 0.000], [0.000, 0.500, 0.500], [0.500, 0.000, 0.000], [0.500, 0.000, 0.500], [0.500, 0.500, 0.173], [0.500, 0.500, 0.827]]
}

---

{
  "formula": "K4TlF5",
  "functional": "GGA-PBE",
  "state": "relaxed",
  "lattice_angstrom": [[6.428, -1.930, 0.000], [6.428, 1.930, 0.000], [-4.696, 0.000, 8.248]],
  "species": ["K", "K", "K", "K", "Tl", "F", "F", "F", "F", "F"],
  "fractional_positions": [[0.098, 0.098, 0.400], [0.299, 0.299, 0.203], [0.701, 0.701, 0.797], [0.902, 0.902, 0.600], [0.500, 0.500, 0.000], [0.105, 0.105, 0.895], [0.298, 0.298, 0.694], [0.500, 0.500, 0.500], [0.702, 0.702, 0.306], [0.895, 0.895, 0.105]]
}

---

{
  "formula": "KTl3F6",
  "functional": "GGA-PBE",
  "state": "relaxed",
  "lattice_angstrom": [[6.451, 0.000, 0.000], [0.000, 6.812, 0.000], [-6.379, 0.000, 9.308]],
  "species": ["K", "K", "Tl", "Tl", "Tl", "Tl", "Tl", "Tl", "F", "F", "F", "F", "F", "F", "F", "F", "F", "F", "F", "F"],
  "fractional_positions": [[0.000, 0.000, 0.000], [0.000, 0.500, 0.500], [0.229, 0.044, 0.740], [0.229, 0.456, 0.240], [0.500, 0.000, 0.500], [0.500, 0.500, 0.000], [0.771, 0.544, 0.760], [0.771, 0.956, 0.260], [0.180, 0.173, 0.465], [0.180, 0.327, 0.965], [0.256, 0.738, 0.433], [0.256, 0.762, 0.933], [0.376, 0.053, 0.275], [0.376, 0.447, 0.775], [0.624, 0.553, 0.225], [0.624, 0.947, 0.725], [0.744, 0.238, 0.067], [0.744, 0.262, 0.567], [0.820, 0.673, 0.035], [0.820, 0.827, 0.535]]
}

---

{
  "formula": "K2TlF",
  "functional": "GGA-PBE",
  "state": "relaxed",
  "de_polymorph_ev_per_atom": 0.021,
  "lattice_angstrom": [[3.798, 0.000, 0.000], [-1.899, 3.289, 0.000], [0.000, 0.000, 30.356]],
  "species": ["K", "K", "K", "K", "K", "K", "Tl", "Tl", "Tl", "F", "F", "F"],
  "fractional_positions": [[0.000, 0.000, 0.114], [0.000, 0.000, 0.886], [0.333, 0.667, 0.553], [0.333, 0.667, 0.781], [0.667, 0.333, 0.219], [0.667, 0.333, 0.447], [0.000, 0.000, 0.000], [0.333, 0.667, 0.667], [0.667, 0.333, 0.333], [0.000, 0.000, 0.500], [0.333, 0.667, 0.167], [0.667, 0.333, 0.833]]
}

---

{
  "formula": "K2TlF",
  "functional": "GGA-PBE",
  "state": "relaxed",
  "de_polymorph_ev_per_atom": 0.509,
  "lattice_angstrom": [[8.178, 0.000, 0.000], [0.000, 8.178, 0.000], [0.000, 0.000, 8.178]],
  "species": ["K", "K", "K", "K", "K", "K", "K", "K", "Tl", "Tl", "Tl", "Tl", "F", "F", "F", "F"],
  "fractional_positions": [[0.250, 0.250, 0.250], [0.250, 0.250, 0.750], [0.250, 0.750, 0.250], [0.250, 0.750, 0.750], [0.750, 0.250, 0.250], [0.750, 0.250, 0.750], [0.750, 0.750, 0.250], [0.750, 0.750, 0.750], [0.000, 0.000, 0.000], [0.000, 0.500, 0.500], [0.500, 0.000, 0.500], [0.500, 0.500, 0.000], [0.000, 0.000, 0.500], [0.000, 0.500, 0.000], [0.500, 0.000, 0.000], [0.500, 0.500, 0.500]]
}

---

{
  "formula": "K6TlF12",
  "functional": "GGA-PBE",
  "state": "relaxed",
  "lattice_angstrom": [[5.671, 3.274, 3.504], [-5.671, 3.274, 3.504], [0.000, -6.549, 3.504]],
  "species": ["K", "K", "K", "K", "K", "K", "Tl", "F", "F", "F", "F", "F", "F", "F", "F", "F", "F", "F", "F"],
  "fractional_positions": [[0.159, 0.254, 0.618], [0.254, 0.618, 0.159], [0.382, 0.841, 0.746], [0.618, 0.159, 0.254], [0.746, 0.382, 0.841], [0.841, 0.746, 0.382], [0.000, 0.000, 0.000], [0.035, 0.932, 0.708], [0.068, 0.292, 0.965], [0.125, 0.560, 0.478], [0.292, 0.965, 0.068], [0.440, 0.522, 0.875], [0.478, 0.125, 0.560], [0.522, 0.875, 0.440], [0.560, 0.478, 0.125], [0.708, 0.035, 0.932], [0.875, 0.440, 0.522], [0.932, 0.708, 0.035], [0.965, 0.068, 0.292]]
}

---

{
  "formula": "KTl4F12",
  "functional": "GGA-PBE",
  "state": "relaxed",
  "lattice_angstrom": [[-4.391, 4.391, 4.391], [4.391, -4.391, 4.391], [4.391, 4.391, -4.391]],
  "species": ["K", "Tl", "Tl", "Tl", "Tl", "F", "F", "F", "F", "F", "F", "F", "F", "F", "F", "F", "F"],
  "fractional_positions": [[0.000, 0.000, 0.000], [0.000, 0.000, 0.500], [0.000, 0.500, 0.000], [0.500, 0.000, 0.000], [0.500, 0.500, 0.500], [0.059, 0.793, 0.266], [0.207, 0.266, 0.473], [0.207, 0.734, 0.941], [0.266, 0.059, 0.793], [0.266, 0.473, 0.207], [0.473, 0.207, 0.266], [0.527, 0.793, 0.734], [0.734, 0.527, 0.793], [0.734, 0.941, 0.207], [0.793, 0.266, 0.059], [0.793, 0.734, 0.527], [0.941, 0.207, 0.734]]
}

---

{
  "formula": "K5TlF6",
  "functional": "GGA-PBE",
  "state": "relaxed",
  "lattice_angstrom": [[3.347, -5.797, 0.000], [3.347, 5.797, 0.000], [-2.231, 0.000, 6.309]],
  "species": ["K", "K", "K", "K", "K", "Tl", "F", "F", "F", "F", "F", "F"],
  "fractional_positions": [[0.000, 0.000, 0.000], [0.167, 0.833, 0.500], [0.334, 0.666, 0.000], [0.666, 0.334, 0.000], [0.833, 0.167, 0.500], [0.500, 0.500, 0.500], [0.075, 0.415, 0.246], [0.244, 0.244, 0.755], [0.415, 0.075, 0.246], [0.585, 0.925, 0.754], [0.756, 0.756, 0.245], [0.925, 0.585, 0.754]]
}

---

{
  "formula": "K2TlF3",
  "functional": "GGA-PBE",
  "state": "relaxed",
  "de_polymorph_ev_per_atom": 0.000,
  "lattice_angstrom": [[3.367, -5.830, 0.000], [3.367, 5.830, 0.000], [-2.246, 0.000, 6.379]],
  "species": ["K", "K", "K", "K", "Tl", "Tl", "F", "F", "F", "F", "F", "F"],
  "fractional_positions": [[0.000, 0.000, 0.000], [0.168, 0.832, 0.500], [0.500, 0.500, 0.500], [0.832, 0.168, 0.500], [0.333, 0.667, 0.000], [0.667, 0.333, 0.000], [0.087, 0.412, 0.260], [0.240, 0.240, 0.742], [0.412, 0.087, 0.260], [0.588, 0.913, 0.740], [0.760, 0.760, 0.258], [0.913, 0.588, 0.740]]
}

---

{
  "formula": "KTlF2",
  "functional": "GGA-PBE",
  "state": "relaxed",
  "de_polymorph_ev_per_atom": 0.105,
  "lattice_angstrom": [[3.331, 0.000, 0.000], [0.000, 3.331, 0.000], [0.000, 0.000, 6.779]],
  "species": ["K", "Tl", "F", "F"],
  "fractional_positions": [[0.000, 0.000, 0.000], [0.000, 0.000, 0.500], [0.500, 0.500, 0.236], [0.500, 0.500, 0.764]]
}

---

Record order is preserved below.
ΔE_f (raw): -2.11; -2.19; -2.29; -2.53; -2.07; -1.24; -0.76; -2.18; -1.94; -2.56; -2.40; -2.12 eV per atom
Record order is preserved below.
Electronic total energy: -3.9084; -4.0088; -4.0125; -4.1421; -4.0091; -2.8513; -2.3632; -3.8341; -3.8869; -4.1549; -4.0928; -3.9245 eV/atom